No. 1
Computed, not measured: a relaxed structure of AgRh4Se at the PBE level of DFT.

Unit cell a=5.1876 b=5.1876 c=5.1876 alpha=60.00 beta=60.00 gamma=60.00
With the nearest neighbours (Å) after each atom.
Positions (direct):
Rh 0.3750 0.3750 0.3750  6 Rh 2.59
Rh 0.8750 0.3750 0.3750  6 Rh 2.59
Rh 0.3750 0.8750 0.3750  6 Rh 2.59
Rh 0.3750 0.3750 0.8750  6 Rh 2.59
Se 0.7500 0.7500 0.7500  12 Rh 3.04, 4 Ag 3.18
Ag 0.0000 0.0000 0.0000  12 Rh 3.04, 4 Se 3.18

Crystal system: cubic
Symmetry: No. 216
N(E_F), states/eV/atom: 1.3643
Calculated total energy, eV/atom: -5.504

***

No. 2
Computed, not measured: a relaxed structure of AgRh2Se2 at the PBE level of DFT.

Unit cell a=3.9062 b=3.9062 c=7.0037 alpha=73.81 beta=73.81 gamma=90.00
With the nearest neighbours (Å) after each atom.
Positions (direct):
Ag 0.0000 0.0000 0.0000  8 Se 3.22
Se 0.3707 0.3707 0.2587  4 Rh 2.50
Se 0.6293 0.6293 0.7413  4 Rh 2.50
Rh 0.7500 0.2500 0.5000  4 Se 2.50, 4 Rh 2.76
Rh 0.2500 0.7500 0.5000  4 Se 2.50, 4 Rh 2.76

Crystal system: tetragonal
Symmetry: No. 139
N(E_F), states/eV/atom: 0.5718
Calculated total energy, eV/atom: -4.914

***

No. 3
Computed, not measured: a relaxed structure of Ag4RhSe at the PBE level of DFT.

Unit cell a=5.4151 b=5.4151 c=5.4151 alpha=60.00 beta=60.00 gamma=60.00
With the nearest neighbours (Å) after each atom.
Positions (direct):
Rh 0.2500 0.2500 0.2500  12 Ag 3.17, 4 Se 3.32
Ag 0.6246 0.6246 0.1263  6 Ag 2.70-2.72
Ag 0.6246 0.1263 0.6246  6 Ag 2.70-2.72
Ag 0.1263 0.6246 0.6246  6 Ag 2.70-2.72
Ag 0.6246 0.6246 0.6246  6 Ag 2.70-2.72
Se 0.0000 0.0000 0.0000  12 Ag 3.18, 4 Rh 3.32

Crystal system: cubic
Symmetry: No. 216
N(E_F), states/eV/atom: 1.0143
Calculated total energy, eV/atom: -3.278

***

No. 4
Computed, not measured: a relaxed structure of AgRh3Se at the PBE level of DFT.

Unit cell a=4.5550 b=4.5550 c=4.5550 alpha=90.00 beta=90.00 gamma=90.00
With the nearest neighbours (Å) after each atom.
Positions (direct):
Se 0.0000 0.0000 0.0000  6 Rh 2.28
Ag 0.5000 0.5000 0.5000  12 Rh 3.22
Rh 0.0000 0.5000 0.0000  2 Se 2.28
Rh 0.0000 0.0000 0.5000  2 Se 2.28
Rh 0.5000 0.0000 0.0000  2 Se 2.28

Crystal system: cubic
Symmetry: No. 221
N(E_F), states/eV/atom: 0.5399
Calculated total energy, eV/atom: -5.189

***

No. 5
Computed, not measured: a relaxed structure of AgRhSe4 at the PBE level of DFT.

Unit cell a=5.6855 b=7.4003 c=6.9964 alpha=109.58 beta=94.54 gamma=105.04
With the nearest neighbours (Å) after each atom.
Positions (direct):
Se 0.5063 0.1375 0.2513  2 Rh 2.51-2.60
Se 0.0474 0.8939 0.3501  1 Se 2.36, 1 Rh 2.48
Se 0.4937 0.8625 0.7487  2 Rh 2.51-2.60
Se 0.5037 0.6428 0.1424  1 Se 2.36, 1 Rh 2.45
Se 0.0030 0.7098 0.8382  2 Rh 2.53-2.54, 1 Ag 2.72
Se 0.4963 0.3572 0.8576  1 Se 2.36, 1 Rh 2.45
Se 0.9526 0.1061 0.6499  1 Se 2.36, 1 Rh 2.48
Se 0.9970 0.2902 0.1618  2 Rh 2.53-2.54, 1 Ag 2.72
Rh 0.7765 0.9206 0.0722  6 Se 2.45-2.60
Rh 0.2234 0.0794 0.9278  6 Se 2.45-2.60
Ag 0.7538 0.5633 0.4436  5 Se 2.72-3.01
Ag 0.2461 0.4367 0.5564  5 Se 2.72-3.01

Crystal system: triclinic
Symmetry: No. 2
N(E_F), states/eV/atom: 0.4799
Calculated total energy, eV/atom: -4.147

***

No. 6
Computed, not measured: a relaxed structure of AgRhSe at the PBE level of DFT.

Unit cell a=4.2669 b=4.2669 c=3.3464 alpha=90.00 beta=90.00 gamma=120.00
With the nearest neighbours (Å) after each atom.
Positions (direct):
Rh 0.6667 0.3333 0.4999  3 Se 2.46
Ag 0.0000 0.0000 0.0002  6 Se 2.98, 6 Rh 2.98
Se 0.3333 0.6667 0.4999  3 Rh 2.46

Crystal system: hexagonal
Symmetry: No. 187
N(E_F), states/eV/atom: 0.9742
Calculated total energy, eV/atom: -4.464

***

No. 7
Computed, not measured: a relaxed structure of AgRh5Se8 at the PBE level of DFT.

Unit cell a=7.4436 b=7.4436 c=7.4436 alpha=60.00 beta=60.00 gamma=60.00
With the nearest neighbours (Å) after each atom.
Positions (direct):
Ag 0.2500 0.2500 0.2500  4 Se 2.56
Se 0.8658 0.4025 0.8658  4 Rh 2.45-2.55
Se 0.8658 0.8658 0.4025  4 Rh 2.45-2.55
Se 0.3902 0.3902 0.8293  3 Rh 2.47, 1 Ag 2.56
Se 0.8658 0.8658 0.8658  4 Rh 2.45-2.55
Se 0.3902 0.8293 0.3902  3 Rh 2.47, 1 Ag 2.56
Se 0.3902 0.3902 0.3902  3 Rh 2.47, 1 Ag 2.56
Se 0.4025 0.8658 0.8658  4 Rh 2.45-2.55
Se 0.8293 0.3902 0.3902  3 Rh 2.47, 1 Ag 2.56
Rh 0.1268 0.6244 0.6244  6 Se 2.47-2.55
Rh 0.6244 0.6244 0.6244  6 Se 2.47-2.55
Rh 0.0000 0.0000 0.0000  4 Se 2.45
Rh 0.6244 0.6244 0.1268  6 Se 2.47-2.55
Rh 0.6244 0.1268 0.6244  6 Se 2.47-2.55

Crystal system: cubic
Symmetry: No. 216
N(E_F), states/eV/atom: 0.6885
Calculated total energy, eV/atom: -5.173

***

No. 8
Computed, not measured: a relaxed structure of Ta2Ag2RhSe6 at the PBE level of DFT.

Unit cell a=6.2819 b=6.2819 c=7.5743 alpha=96.38 beta=96.38 gamma=122.99
With the nearest neighbours (Å) after each atom.
Positions (direct):
Se 0.2410 0.2410 0.2560  2 Ta 2.57, 1 Rh 2.60
Se 0.7590 0.7590 0.7440  2 Ta 2.57, 1 Rh 2.60
Se 0.0378 0.3890 0.6991  2 Ta 2.58-2.75, 1 Rh 2.60, 2 Ag 2.81-2.89
Se 0.6110 0.9622 0.3009  2 Ta 2.58-2.75, 1 Rh 2.60, 2 Ag 2.81-2.89
Se 0.3890 0.0378 0.6991  2 Ta 2.58-2.75, 1 Rh 2.60, 2 Ag 2.81-2.89
Se 0.9622 0.6110 0.3009  2 Ta 2.58-2.75, 1 Rh 2.60, 2 Ag 2.81-2.89
Ag 0.2102 0.7898 0.0000  4 Se 2.81-2.89, 2 Ag 3.12
Ag 0.7898 0.2102 0.0000  4 Se 2.81-2.89, 2 Ag 3.12
Ta 0.6312 0.3688 0.5000  6 Se 2.57-2.75
Ta 0.3688 0.6312 0.5000  6 Se 2.57-2.75
Rh 0.0000 0.0000 0.5000  6 Se 2.60

Crystal system: monoclinic
Symmetry: No. 12
N(E_F), states/eV/atom: 0.5178
Calculated total energy, eV/atom: -5.651